The following is a PBE+U calculation of a relaxed Tl3Cr2InF9 crystal, from Alexandria via LeMat-Bulk.

Symmetry: No. 164
N(E_F) in states/eV/f.u.: 4.65
Electronic total energy in eV per atom: -4.9351

Unit cell a=6.1365 b=6.1365 c=7.9525 alpha=90.00 beta=90.00 gamma=120.00
Positions (direct):
1 Tl 0.0000 0.0000 0.0000
2 Tl 0.3333 0.6667 0.6609
3 Tl 0.6667 0.3333 0.3391
4 Cr 0.3333 0.6667 0.1428
5 Cr 0.6667 0.3333 0.8572
6 In 0.0000 0.0000 0.5000
7 F 0.0000 0.5000 0.0000
8 F 0.1807 0.3615 0.2891
9 F 0.1807 0.8193 0.2891
10 F 0.3615 0.1807 0.7109
11 F 0.5000 0.0000 0.0000
12 F 0.5000 0.5000 0.0000
13 F 0.6385 0.8193 0.2891
14 F 0.8193 0.1807 0.7109
15 F 0.8193 0.6385 0.7109